Entry from Alexandria via LeMat-Bulk: crystalline Rb2MoO3 at its relaxed geometry (PBE+U).

abc: 5.9879 6.5478 6.5478
angles: 69.52 83.77 83.77
Last column: nearest neighbours and their distance in Å.
Atoms (fractional coordinates):
O  0.5175  0.1627  0.0761  2 Mo 1.98-2.20
O  0.9825  0.9239  0.8373  2 Mo 1.98-2.20
O  0.4825  0.8373  0.9239  2 Mo 1.98-2.20
O  0.0175  0.0761  0.1627  2 Mo 1.98-2.20
O  0.7500  0.6659  0.3341  1 Mo 1.91
O  0.2500  0.3341  0.6659  1 Mo 1.91
Mo  0.7500  0.9222  0.0778  3 O 1.91-1.98
Mo  0.2500  0.0778  0.9222  3 O 1.91-1.98
Rb  0.7794  0.5261  0.7994  5 O 2.84-3.12
Rb  0.2794  0.7994  0.5261  5 O 2.84-3.12
Rb  0.7206  0.2006  0.4739  5 O 2.84-3.12
Rb  0.2206  0.4739  0.2006  5 O 2.84-3.12

Summary:
- DFT total energy (eV per cell) = -67.2
- space-group type = No. 15
- M_tot (μB/f.u.) = 2.0